Record 1
## MgAgSe2N (meta-GGA SCAN)

Data for a PBEsol-optimized structure of MgAgSe2N.

a b c (Å): 5.1218 5.1218 3.8998
angles (deg): 90.00 90.00 90.00
Atoms (fractional coordinates):
Mg 0.0000 0.0000 0.0000
Ag 0.5000 0.5000 0.5000
Se 0.0000 0.5000 0.5000
Se 0.5000 0.0000 0.5000
N 0.5000 0.5000 0.0000

For the total magnetic moment, the calculation gives 1.906 Bohr magnetons per cell. Its energy relative to the elements, uncorrected is 59 kJ/mol of atoms. Its space-group type is P4/mmm (123).


Record 2
## CaPrNi2O6 (meta-GGA SCAN)

Data for a PBEsol-optimized structure of CaPrNi2O6.

a b c (Å): 7.4508 5.2819 5.3015
angles (deg): 90.00 90.00 90.00
Atoms (fractional coordinates):
Ca 0.0000 0.2056 0.0000
Ca 0.5000 0.7944 0.5000
Pr 0.0000 0.7167 0.5141
Pr 0.5000 0.2833 0.0141
Ni 0.2494 0.2504 0.5084
Ni 0.2506 0.7496 0.0084
Ni 0.7494 0.7496 0.0084
Ni 0.7506 0.2504 0.5084
O 0.0000 0.2554 0.4329
O 0.0000 0.7591 0.0728
O 0.2095 0.4636 0.7943
O 0.2170 0.9672 0.7252
O 0.2830 0.0328 0.2252
O 0.2905 0.5364 0.2943
O 0.5000 0.2409 0.5728
O 0.5000 0.7446 0.9329
O 0.7095 0.5364 0.2943
O 0.7170 0.0328 0.2252
O 0.7830 0.9672 0.7252
O 0.7905 0.4636 0.7943

For the total magnetic moment, the calculation gives 1.999 Bohr magnetons per cell. Its energy relative to the elements, uncorrected is -215 kJ/mol of atoms. Its space-group type is Pmn2_1 (31).


Record 3
## BaSbW2 (meta-GGA SCAN)

Data for a PBEsol-optimized structure of BaSbW2.

a b c (Å): 3.3557 4.0020 7.0961
angles (deg): 90.00 90.00 90.00
Atoms (fractional coordinates):
Ba 0.0000 0.0000 0.0000
Sb 0.0000 0.0000 0.5000
W 0.5000 0.5000 0.3353
W 0.5000 0.5000 0.6647

For the total magnetic moment, the calculation gives 0.000 Bohr magnetons per cell. Its energy relative to the elements, uncorrected is 101 kJ/mol of atoms. Its space-group type is Pmmm (47).